# TlCrIn2, relaxed, DFT GGA-PBE
# - Relative energy among the computed polymorphs: 0.0611 eV per atom
data_TlCrIn2
_chemical_formula_sum 'Tl3 Cr3 In6'
_symmetry_space_group_name_H-M 'R -3 m'
_symmetry_Int_Tables_number 166
_symmetry_space_group_name_Hall '-R 3 2"'
_cell_length_a 3.3444
_cell_length_b 3.3444
_cell_length_c 29.8880
_cell_angle_alpha 90.00
_cell_angle_beta 90.00
_cell_angle_gamma 120.00
loop_
_atom_site_label
_atom_site_type_symbol
_atom_site_fract_x
_atom_site_fract_y
_atom_site_fract_z
_atom_site_occupancy
Tl1 Tl 0.0000 0.0000 0.0000 1
Cr1 Cr 0.0000 0.0000 0.5000 1
In1 In 0.0000 0.0000 0.2388 1


The following is a DFT calculation (GGA-PBE) of an optimized crystal structure of KEr2Cl2F5.

```
data_KEr2Cl2F5
_chemical_formula_sum 'K2 Er4 Cl4 F10'
_symmetry_space_group_name_H-M 'P 4/m b m'
_symmetry_Int_Tables_number 127
_symmetry_space_group_name_Hall '-P 4 2ab'
_cell_length_a 9.716
_cell_length_b 9.716
_cell_length_c 3.426
_cell_angle_alpha 90.00
_cell_angle_beta 90.00
_cell_angle_gamma 90.00
loop_
_atom_site_label
_atom_site_type_symbol
_atom_site_fract_x
_atom_site_fract_y
_atom_site_fract_z
_atom_site_occupancy
K1 K 0.000 0.000 0.000 1
Er1 Er 0.130 0.370 0.000 1
Cl1 Cl 0.166 0.666 0.000 1
F1 F 0.000 0.500 0.500 1
F2 F 0.078 0.231 0.500 1
```


The following is a DFT calculation (GGA-PBE) of an optimized crystal structure of TmCrTc.

```
data_TmCrTc
_chemical_formula_sum 'Tm4 Cr4 Tc4'
_symmetry_space_group_name_H-M 'P b c m'
_symmetry_Int_Tables_number 57
_symmetry_space_group_name_Hall '-P 2c 2b'
_cell_length_a 5.612
_cell_length_b 7.353
_cell_length_c 5.377
_cell_angle_alpha 90.00
_cell_angle_beta 90.00
_cell_angle_gamma 90.00
loop_
_atom_site_label
_atom_site_type_symbol
_atom_site_fract_x
_atom_site_fract_y
_atom_site_fract_z
_atom_site_occupancy
Tm1 Tm 0.122 0.108 0.250 1
Cr1 Cr 0.396 0.024 0.750 1
Tc1 Tc 0.381 0.750 0.000 1
```


# TiPW3, relaxed, DFT GGA-PBE
# - Relative energy among the computed polymorphs: 0.0000 eV per atom
data_TiPW3
_chemical_formula_sum 'Ti1 P1 W3'
_symmetry_space_group_name_H-M 'P m -3 m'
_symmetry_Int_Tables_number 221
_symmetry_space_group_name_Hall '-P 4 2 3'
_cell_length_a 4.454
_cell_length_b 4.454
_cell_length_c 4.454
_cell_angle_alpha 90.00
_cell_angle_beta 90.00
_cell_angle_gamma 90.00
loop_
_atom_site_label
_atom_site_type_symbol
_atom_site_fract_x
_atom_site_fract_y
_atom_site_fract_z
_atom_site_occupancy
Ti1 Ti 0.000 0.000 0.000 1
P1 P 0.500 0.500 0.500 1
W1 W 0.000 0.500 0.500 1


# Mg2P2Au, relaxed, DFT GGA-PBE
# - Relative energy among the computed polymorphs: 0.0000 eV per atom
data_Mg2P2Au
_chemical_formula_sum 'Mg4 P4 Au2'
_symmetry_space_group_name_H-M 'P 4/m b m'
_symmetry_Int_Tables_number 127
_symmetry_space_group_name_Hall '-P 4 2ab'
_cell_length_a 6.788
_cell_length_b 6.788
_cell_length_c 3.848
_cell_angle_alpha 90.00
_cell_angle_beta 90.00
_cell_angle_gamma 90.00
loop_
_atom_site_label
_atom_site_type_symbol
_atom_site_fract_x
_atom_site_fract_y
_atom_site_fract_z
_atom_site_occupancy
Mg1 Mg 0.181 0.319 0.000 1
P1 P 0.125 0.625 0.500 1
Au1 Au 0.000 0.000 0.500 1


# BaLa3Ru, relaxed, DFT GGA-PBE
# - Relative energy among the computed polymorphs: 0.0761 eV per atom
data_BaLa3Ru
_chemical_formula_sum 'Ba2 La6 Ru2'
_symmetry_space_group_name_H-M 'P 1 21/m 1'
_symmetry_Int_Tables_number 11
_symmetry_space_group_name_Hall '-P 2yb'
_cell_length_a 6.832
_cell_length_b 7.388
_cell_length_c 7.331
_cell_angle_alpha 90.00
_cell_angle_beta 91.47
_cell_angle_gamma 90.00
loop_
_atom_site_label
_atom_site_type_symbol
_atom_site_fract_x
_atom_site_fract_y
_atom_site_fract_z
_atom_site_occupancy
Ba1 Ba 0.101 0.250 0.376 1
La1 La 0.116 0.750 0.120 1
La2 La 0.418 0.003 0.744 1
Ru1 Ru 0.345 0.750 0.420 1


Final energy
In order: -16.2 -55.9 -24.3 -48.8 -18.4 -26.3
Unit: eV/f.u.